Entry 1:
SrNbH: relaxed, PBE-GGA.

CIF file:
```
data_SrNbH
_symmetry_space_group_name_H-M 'F -4 3 m'
_symmetry_Int_Tables_number 216
_symmetry_space_group_name_Hall 'F -4 2 3'
_cell_length_a 7.231
_cell_length_b 7.231
_cell_length_c 7.231
_cell_angle_alpha 90.00
_cell_angle_beta 90.00
_cell_angle_gamma 90.00
loop_
_atom_site_label
_atom_site_type_symbol
_atom_site_fract_x
_atom_site_fract_y
_atom_site_fract_z
_atom_site_occupancy
Sr1 Sr 0.000 0.000 0.000 1
Nb1 Nb 0.250 0.250 0.250 1
H1 H 0.000 0.000 0.500 1
```

Computed properties:
- mass density (g/cm³) = 3.19
- energy above the most stable polymorph in this dataset (eV per atom) = 1.965

Entry 2:
SrNbH: relaxed, PBE-GGA.

CIF file:
```
data_SrNbH
_symmetry_space_group_name_H-M 'P 1'
_symmetry_Int_Tables_number 1
_symmetry_space_group_name_Hall 'P 1'
_cell_length_a 3.797
_cell_length_b 5.950
_cell_length_c 6.289
_cell_angle_alpha 115.56
_cell_angle_beta 106.05
_cell_angle_gamma 90.14
loop_
_atom_site_label
_atom_site_type_symbol
_atom_site_fract_x
_atom_site_fract_y
_atom_site_fract_z
_atom_site_occupancy
Sr1 Sr 0.000 0.000 0.000 1
Sr2 Sr 0.210 0.700 0.404 1
Nb1 Nb 0.442 0.431 0.862 1
Nb2 Nb 0.771 0.272 0.536 1
H1 H 0.114 0.115 0.698 1
H2 H 0.602 0.352 0.207 1
```

Computed properties:
- mass density (g/cm³) = 4.94
- energy above the most stable polymorph in this dataset (eV per atom) = 0.266

Entry 3:
SrNbH: relaxed, PBE-GGA.

CIF file:
```
data_SrNbH
_symmetry_space_group_name_H-M 'P -1'
_symmetry_Int_Tables_number 2
_symmetry_space_group_name_Hall '-P 1'
_cell_length_a 3.531
_cell_length_b 6.261
_cell_length_c 6.531
_cell_angle_alpha 113.01
_cell_angle_beta 105.63
_cell_angle_gamma 90.02
loop_
_atom_site_label
_atom_site_type_symbol
_atom_site_fract_x
_atom_site_fract_y
_atom_site_fract_z
_atom_site_occupancy
Sr1 Sr 0.097 0.329 0.196 1
Nb1 Nb 0.325 0.121 0.650 1
H1 H 0.304 0.401 0.606 1
```

Computed properties:
- mass density (g/cm³) = 4.74
- energy above the most stable polymorph in this dataset (eV per atom) = 0.237

Entry 4:
Sr2NbH: relaxed, PBE-GGA.

CIF file:
```
data_Sr2NbH
_symmetry_space_group_name_H-M 'F m -3 m'
_symmetry_Int_Tables_number 225
_symmetry_space_group_name_Hall '-F 4 2 3'
_cell_length_a 7.918
_cell_length_b 7.918
_cell_length_c 7.918
_cell_angle_alpha 90.00
_cell_angle_beta 90.00
_cell_angle_gamma 90.00
loop_
_atom_site_label
_atom_site_type_symbol
_atom_site_fract_x
_atom_site_fract_y
_atom_site_fract_z
_atom_site_occupancy
Sr1 Sr 0.250 0.250 0.250 1
Nb1 Nb 0.000 0.000 0.000 1
H1 H 0.000 0.000 0.500 1
```

Computed properties:
- mass density (g/cm³) = 3.60
- energy above the most stable polymorph in this dataset (eV per atom) = 0.335

Number 1: size of the total moment 22.4 Bohr magnetons per cell. Number 2: size of the total moment 0.0 Bohr magnetons per cell. Number 3: size of the total moment 0.0 Bohr magnetons per cell. Number 4: size of the total moment 17.3 Bohr magnetons per cell.